[1]
# K3TcGe

A crystal of K3TcGe relaxed with PBEsol (meta-GGA SCAN, Alexandria via LeMat-Bulk).

Cell and atoms, written as extended XYZ:
```
5
Lattice="6.1788 0.0000 0.0000 0.0000 6.1788 0.0000 0.0000 0.0000 6.1788" Properties=species:S:1:pos:R:3 pbc="T T T"
K 0.0000 0.0000 3.0894
K 0.0000 3.0894 0.0000
K 3.0894 0.0000 0.0000
Tc 0.0000 0.0000 0.0000
Ge 3.0894 3.0894 3.0894
```

## Properties
Its total moment is 6.00 μB per cell. The calculation puts the energy of formation from the pure elements at 1.374 eV/atom.

[2]
# KTl2Ge2

A crystal of KTl2Ge2 relaxed with PBEsol (meta-GGA SCAN, Alexandria via LeMat-Bulk).

Cell and atoms, written as extended XYZ:
```
10
Lattice="5.1044 0.0000 0.0000 0.0000 5.1044 0.0000 0.0000 0.0000 10.5013" Properties=species:S:1:pos:R:3 pbc="T T T"
K 0.0000 0.0000 0.0000
K 2.5522 2.5522 5.2506
Tl 0.0000 2.5522 2.6253
Tl 0.0000 2.5522 7.8760
Tl 2.5522 0.0000 2.6253
Tl 2.5522 0.0000 7.8760
Ge 0.0000 0.0000 4.0086
Ge 0.0000 0.0000 6.4927
Ge 2.5522 2.5522 1.2420
Ge 2.5522 2.5522 9.2593
```

## Properties
Its total moment is 0.00 μB per cell. The calculation puts the energy of formation from the pure elements at -0.066 eV/atom.